No. 1
This record from Alexandria describes a geometry-optimized PaZn4Ni4 structure. The functional is GGA-PBE.

Calculated values
D(E_F): 4.34 states/eV/f.u.
size of the total moment: 0.00 μB per formula unit
energy: -78.0 eV per cell
energy of formation: -141 meV/atom

Lattice parameters (Å, degrees): 3.961 8.209 8.209 90.00 90.00 90.00
Atoms (fractional coordinates):
Zn1 0.452 0.118 0.394
Ni1 0.952 0.697 0.617
Zn2 0.548 0.606 0.118
Ni2 0.048 0.383 0.697
Ni3 0.952 0.303 0.383
Ni4 0.048 0.617 0.303
Zn3 0.048 0.618 0.894
Pa1 0.000 0.000 0.000
Zn4 0.548 0.394 0.882
Zn5 0.952 0.106 0.618
Ni5 0.548 0.197 0.117
Pa2 0.500 0.500 0.500
Ni6 0.548 0.803 0.883
Ni7 0.452 0.883 0.197
Zn6 0.048 0.382 0.106
Ni8 0.452 0.117 0.803
Zn7 0.952 0.894 0.382
Zn8 0.452 0.882 0.606

No. 2
This record from Alexandria describes a geometry-optimized Zn2Co2Mo structure. The functional is GGA-PBE.

Calculated values
D(E_F): 3.83 states/eV/f.u.
size of the total moment: 1.19 μB per formula unit
energy above the lowest structure with this stoichiometry: 221 meV/atom
energy: -53.0 eV per cell
energy of formation: 221 meV/atom

Lattice parameters (Å, degrees): 6.911 6.911 2.700 90.00 90.00 90.00
Atoms (fractional coordinates):
Zn1 0.173 0.673 0.500
Mo1 0.500 0.500 0.000
Co1 0.123 0.377 0.000
Co2 0.377 0.877 0.000
Co3 0.877 0.623 0.000
Zn2 0.327 0.173 0.500
Co4 0.623 0.123 0.000
Zn3 0.827 0.327 0.500
Mo2 0.000 0.000 0.000
Zn4 0.673 0.827 0.500

No. 3
This record from Alexandria describes a geometry-optimized KAlS2 structure. The functional is GGA-PBE.

Calculated values
formation energy from raw total energies: -1.29 eV/atom
D(E_F): 0.00 states/eV/f.u.
size of the total moment: 0.00 μB per formula unit
energy: -36.5 eV per cell

Lattice parameters (Å, degrees): 7.093 5.867 7.095 101.73 119.24 78.30
Atoms (fractional coordinates):
S1 0.249 0.854 0.749
S2 0.116 0.750 0.204
K1 0.415 0.345 0.050
S3 0.448 0.255 0.549
Al1 0.173 0.554 0.473
Al2 0.170 0.054 0.471
S4 0.903 0.358 0.417
K2 0.750 0.764 0.716

No. 4
This record from Alexandria describes a geometry-optimized LuZnSnPt structure. The functional is GGA-PBE.

Calculated values
D(E_F): 2.58 states/eV/f.u.
size of the total moment: 0.00 μB per formula unit
energy: -18.4 eV per cell
energy of formation: -652 meV/atom

Lattice parameters (Å, degrees): 4.794 4.794 4.794 60.00 60.00 60.00
Atoms (fractional coordinates):
Sn1 0.750 0.750 0.750
Zn1 0.000 0.000 0.000
Pt1 0.500 0.500 0.500
Lu1 0.250 0.250 0.250

No. 5
This record from Alexandria describes a geometry-optimized Ho2Br2N structure. The functional is GGA-PBE.

Calculated values
formation energy from raw total energies: -1.73 eV/atom
D(E_F): 1.44 states/eV/f.u.
size of the total moment: 0.00 μB per formula unit
energy: -29.5 eV per cell

Lattice parameters (Å, degrees): 3.647 3.647 10.804 80.28 80.28 60.00
Atoms (fractional coordinates):
Ho1 0.374 0.374 0.879
Br1 0.232 0.232 0.304
Ho2 0.626 0.626 0.121
Br2 0.768 0.768 0.696
N1 0.000 0.000 0.000

No. 6
This record from Alexandria describes a geometry-optimized MnSb2Pb structure. The functional is GGA-PBE.

Calculated values
formation energy from raw total energies: 0.14 eV/atom
D(E_F): 2.75 states/eV/f.u.
size of the total moment: 2.95 μB per formula unit
energy: -20.5 eV per cell

Lattice parameters (Å, degrees): 3.355 3.355 8.766 90.00 90.00 92.14
Atoms (fractional coordinates):
Pb1 0.500 0.500 0.750
Sb1 0.000 0.000 0.064
Mn1 0.500 0.500 0.250
Sb2 0.000 0.000 0.436

No. 7
This record from Alexandria describes a geometry-optimized P2IrPb structure. The functional is GGA-PBE.

Calculated values
D(E_F): 2.15 states/eV/f.u.
size of the total moment: 0.00 μB per formula unit
energy: -21.5 eV per cell
energy of formation: 481 meV/atom

Lattice parameters (Å, degrees): 4.606 4.606 4.605 69.39 69.39 107.19
Atoms (fractional coordinates):
P1 0.000 0.000 0.000
P2 0.500 0.500 0.000
Ir1 0.000 0.500 0.500
Pb1 0.500 0.000 0.500

No. 8
This record from Alexandria describes a geometry-optimized RbScSe2Cl structure. The functional is GGA-PBE.

Calculated values
formation energy from raw total energies: 0.15 eV/atom
D(E_F): 3.43 states/eV/f.u.
size of the total moment: 1.20 μB per formula unit
energy: -15.4 eV per cell

Lattice parameters (Å, degrees): 5.490 5.303 5.490 90.00 90.00 90.00
Atoms (fractional coordinates):
Cl1 0.000 0.000 0.000
Se1 0.500 0.000 0.000
Rb1 0.000 0.500 0.000
Se2 0.000 0.000 0.500
Sc1 0.500 0.500 0.500

No. 9
This record from Alexandria describes a geometry-optimized Cs2SrI7 structure. The functional is GGA-PBE.

Calculated values
formation energy from raw total energies: -0.96 eV/atom
D(E_F): 5.84 states/eV/f.u.
size of the total moment: 0.00 μB per formula unit
energy: -23.8 eV per cell

Lattice parameters (Å, degrees): 8.929 8.929 9.595 62.27 62.27 90.00
Atoms (fractional coordinates):
I1 0.757 0.243 0.000
I2 0.757 0.757 0.000
I3 0.243 0.757 0.000
Cs1 0.750 0.250 0.500
I4 0.000 0.000 0.000
I5 0.721 0.721 0.558
I6 0.279 0.279 0.442
Sr1 0.500 0.500 0.000
Cs2 0.250 0.750 0.500
I7 0.243 0.243 0.000

No. 10
This record from Alexandria describes a geometry-optimized Pu2InAu3 structure. The functional is GGA-PBE.

Calculated values
D(E_F): 27.32 states/eV/f.u.
size of the total moment: 11.42 μB per formula unit
energy above the lowest structure with this stoichiometry: 207 meV/atom
energy: -42.7 eV per cell
energy of formation: -239 meV/atom

Lattice parameters (Å, degrees): 4.684 5.864 6.716 115.89 110.41 90.00
Atoms (fractional coordinates):
Au1 0.357 0.357 0.713
Pu1 0.320 0.820 0.640
Pu2 0.680 0.180 0.360
Au2 0.000 0.000 0.000
Au3 0.643 0.643 0.287
In1 0.000 0.500 0.000

No. 11
This record from Alexandria describes a geometry-optimized Sc4Pt7Au structure. The functional is GGA-PBE.

Calculated values
D(E_F): 5.05 states/eV/f.u.
size of the total moment: 0.00 μB per formula unit
energy: -80.2 eV per cell
energy of formation: -779 meV/atom

Lattice parameters (Å, degrees): 5.042 8.936 5.853 80.39 64.48 73.61
Atoms (fractional coordinates):
Sc1 0.218 0.357 0.208
Pt1 0.364 0.527 0.745
Pt2 0.788 0.906 0.518
Au1 0.000 0.000 0.000
Pt3 0.212 0.094 0.482
Pt4 0.927 0.319 0.826
Pt5 0.073 0.681 0.174
Sc2 0.782 0.643 0.792
Pt6 0.636 0.473 0.255
Sc3 0.590 0.218 0.601
Pt7 0.500 0.000 0.000
Sc4 0.410 0.782 0.399

No. 12
This record from Alexandria describes a geometry-optimized KCaTlIn structure. The functional is GGA-PBE.

Calculated values
D(E_F): 2.95 states/eV/f.u.
size of the total moment: 0.00 μB per formula unit
energy: -8.8 eV per cell
energy of formation: -151 meV/atom

Lattice parameters (Å, degrees): 5.698 5.698 5.698 60.00 60.00 60.00
Atoms (fractional coordinates):
Tl1 0.000 0.000 0.000
In1 0.500 0.500 0.500
K1 0.250 0.250 0.250
Ca1 0.750 0.750 0.750

No. 13
This record from Alexandria describes a geometry-optimized Sc3Si3Mo2 structure. The functional is GGA-PBE.

Calculated values
formation energy from raw total energies: -0.45 eV/atom
D(E_F): 7.02 states/eV/f.u.
size of the total moment: 0.00 μB per formula unit
energy above the lowest structure with this stoichiometry: 242 meV/atom
energy: -121.1 eV per cell

Lattice parameters (Å, degrees): 7.562 7.562 5.401 90.00 90.00 118.65
Atoms (fractional coordinates):
Si1 0.993 0.609 0.500
Sc1 0.233 0.000 0.500
Si2 0.378 0.002 0.000
Sc2 0.335 0.670 0.246
Sc3 0.670 0.335 0.754
Si3 0.609 0.993 0.500
Sc4 0.670 0.335 0.246
Mo1 0.737 0.737 0.500
Mo2 0.280 0.280 0.000
Sc5 0.000 0.233 0.500
Si4 0.401 0.401 0.500
Si5 0.623 0.623 0.000
Sc6 0.335 0.670 0.754
Si6 0.002 0.378 0.000
Mo3 0.735 0.000 0.000
Mo4 0.000 0.735 0.000

No. 14
This record from Alexandria describes a geometry-optimized PmNd7Sm3 structure. The functional is GGA-PBE.

Calculated values
D(E_F): 16.92 states/eV/f.u.
size of the total moment: 0.00 μB per formula unit
energy above the lowest structure with this stoichiometry: 0 meV/atom
energy: -50.4 eV per cell
energy of formation: 173 meV/atom

Lattice parameters (Å, degrees): 8.781 7.270 7.270 120.00 90.00 90.00
Atoms (fractional coordinates):
Nd1 0.454 0.334 0.167
Sm1 0.783 0.500 0.500
Nd2 0.123 0.667 0.333
Sm2 0.783 0.000 0.500
Pm1 0.443 0.333 0.667
Nd3 0.454 0.833 0.167
Nd4 0.112 0.666 0.833
Nd5 0.112 0.167 0.833
Nd6 0.112 0.167 0.334
Sm3 0.783 0.500 0.000
Nd7 0.454 0.833 0.666

No. 15
This record from Alexandria describes a geometry-optimized KTaAg2 structure. The functional is GGA-PBE.

Calculated values
D(E_F): 2.72 states/eV/f.u.
size of the total moment: 0.00 μB per formula unit
energy above the lowest structure with this stoichiometry: 74 meV/atom
energy: -16.4 eV per cell
energy of formation: 553 meV/atom

Lattice parameters (Å, degrees): 11.014 11.014 11.014 15.70 15.70 15.70
Atoms (fractional coordinates):
Ag1 0.009 0.009 0.009
Ag2 0.491 0.491 0.491
Ta1 0.750 0.750 0.750
K1 0.250 0.250 0.250

No. 16
This record from Alexandria describes a geometry-optimized Tb2H4Se structure. The functional is GGA-PBE.

Calculated values
size of the total moment: 0.00 μB per formula unit
energy: -33.1 eV per cell

Lattice parameters (Å, degrees): 3.777 3.777 7.494 75.40 75.40 60.00
Atoms (fractional coordinates):
Tb1 0.241 0.241 0.276
H1 0.137 0.137 0.588
H2 0.863 0.863 0.412
H3 0.566 0.566 0.302
Se1 0.000 0.000 0.000
H4 0.434 0.434 0.698
Tb2 0.759 0.759 0.724

No. 17
This record from Alexandria describes a geometry-optimized LaReRu3 structure. The functional is GGA-PBE.

Calculated values
D(E_F): 4.04 states/eV/f.u.
size of the total moment: 0.00 μB per formula unit
energy above the lowest structure with this stoichiometry: 0 meV/atom
energy: -42.0 eV per cell
energy of formation: 642 meV/atom

Lattice parameters (Å, degrees): 4.738 4.738 4.738 90.00 90.00 90.00
Atoms (fractional coordinates):
Ru1 0.000 0.500 0.000
Ru2 0.500 0.000 0.000
La1 0.500 0.500 0.500
Ru3 0.000 0.000 0.500
Re1 0.000 0.000 0.000

No. 18
This record from Alexandria describes a geometry-optimized Rb2GePdSe4 structure. The functional is GGA-PBE.

Calculated values
formation energy from raw total energies: -0.63 eV/atom
size of the total moment: 0.00 μB per formula unit
energy: -61.5 eV per cell

Lattice parameters (Å, degrees): 7.042 6.931 13.131 82.17 74.44 59.47
Atoms (fractional coordinates):
Rb1 0.936 0.500 0.129
Se1 0.128 0.378 0.378
Ge1 0.250 0.500 0.500
Pd1 0.000 0.000 0.000
Se2 0.866 0.878 0.878
Rb2 0.186 0.000 0.629
Pd2 0.750 0.500 0.500
Se3 0.256 0.878 0.122
Se4 0.494 0.378 0.622
Se5 0.884 0.622 0.622
Rb3 0.814 0.000 0.371
Rb4 0.564 0.500 0.871
Se6 0.494 0.622 0.378
Se7 0.256 0.122 0.878
Se8 0.622 0.122 0.122
Ge2 0.500 0.000 0.000

No. 19
This record from Alexandria describes a geometry-optimized KY2C structure. The functional is GGA-PBE.

Calculated values
D(E_F): 5.40 states/eV/f.u.
size of the total moment: 0.00 μB per formula unit
energy: -43.9 eV per cell
energy of formation: 324 meV/atom

Lattice parameters (Å, degrees): 7.509 7.509 7.532 60.10 60.10 90.00
Atoms (fractional coordinates):
C1 0.500 0.500 0.000
Y1 0.875 0.653 0.750
Y2 0.403 0.125 0.250
K1 0.750 0.250 0.500
Y3 0.375 0.597 0.750
Y4 0.347 0.625 0.250
K2 0.000 0.000 0.000
C2 0.250 0.750 0.500

No. 20
This record from Alexandria describes a geometry-optimized SnSb structure. The functional is GGA-PBE.

Calculated values
formation energy from raw total energies: 0.01 eV/atom
D(E_F): 1.04 states/eV/f.u.
size of the total moment: 0.00 μB per formula unit
energy: -8.1 eV per cell

Lattice parameters (Å, degrees): 4.371 4.371 4.371 60.00 60.00 60.00
Atoms (fractional coordinates):
Sb1 0.000 0.000 0.000
Sn1 0.500 0.500 0.500

No. 21
This record from Alexandria describes a geometry-optimized Pr7NdEr4 structure. The functional is GGA-PBE.

Calculated values
D(E_F): 15.59 states/eV/f.u.
size of the total moment: 0.00 μB per formula unit
energy above the lowest structure with this stoichiometry: 0 meV/atom
energy: -56.4 eV per cell
energy of formation: 5 meV/atom

Lattice parameters (Å, degrees): 7.344 6.366 11.650 79.56 50.93 90.03
Atoms (fractional coordinates):
Pr1 0.743 0.500 0.003
Er1 0.590 0.277 0.666
Pr2 0.916 0.719 0.336
Pr3 0.084 0.281 0.664
Pr4 0.257 0.500 0.997
Er2 0.410 0.723 0.334
Nd1 0.000 0.000 0.000
Er3 0.836 0.782 0.664
Pr5 0.335 0.777 0.665
Pr6 0.665 0.223 0.335
Pr7 0.500 0.000 0.000
Er4 0.164 0.218 0.336

No. 22
This record from Alexandria describes a geometry-optimized Dy3Zr2PaAs6 structure. The functional is GGA-PBE.

Calculated values
D(E_F): 7.23 states/eV/f.u.
size of the total moment: 0.00 μB per formula unit
energy: -84.0 eV per cell
energy of formation: -1311 meV/atom

Lattice parameters (Å, degrees): 6.953 6.953 7.015 99.53 99.53 120.02
Atoms (fractional coordinates):
As1 0.418 0.080 0.242
Dy1 0.165 0.835 0.500
As2 0.582 0.920 0.758
Pa1 0.000 0.000 0.000
As3 0.920 0.582 0.758
As4 0.259 0.259 0.762
As5 0.080 0.418 0.242
Zr1 0.667 0.333 0.000
Dy2 0.500 0.500 0.500
Zr2 0.333 0.667 0.000
As6 0.741 0.741 0.238
Dy3 0.835 0.165 0.500

No. 23
This record from Alexandria describes a geometry-optimized Nd3Hg2N structure. The functional is GGA-PBE.

Calculated values
formation energy from raw total energies: -0.73 eV/atom
D(E_F): 4.61 states/eV/f.u.
size of the total moment: 0.00 μB per formula unit
energy: -55.2 eV per cell

Lattice parameters (Å, degrees): 5.065 7.284 8.375 90.19 107.60 90.00
Atoms (fractional coordinates):
Hg1 0.698 0.750 0.395
Hg2 0.698 0.250 0.395
Nd1 0.112 0.000 0.224
Nd2 0.888 0.500 0.776
Nd3 0.500 0.750 0.000
Nd4 0.112 0.500 0.224
Nd5 0.888 0.000 0.776
Hg3 0.302 0.250 0.605
N1 0.000 0.750 0.000
Hg4 0.302 0.750 0.605
N2 0.000 0.250 0.000
Nd6 0.500 0.250 0.000

No. 24
This record from Alexandria describes a geometry-optimized Nd2Sm3Mg structure. The functional is GGA-PBE.

Calculated values
D(E_F): 7.97 states/eV/f.u.
size of the total moment: 0.00 μB per formula unit
energy above the lowest structure with this stoichiometry: 0 meV/atom
energy: -25.2 eV per cell
energy of formation: 9 meV/atom

Lattice parameters (Å, degrees): 5.079 5.025 8.081 108.12 90.00 90.00
Atoms (fractional coordinates):
Sm1 0.500 0.500 0.000
Mg1 0.000 0.000 0.000
Sm2 0.500 0.832 0.665
Nd1 0.000 0.335 0.671
Sm3 0.500 0.168 0.335
Nd2 0.000 0.665 0.329